(1)
6
Lattice="3.5968 0.0000 0.0000 0.0000 3.5968 0.0000 0.0000 0.0000 15.2581" Properties=species:S:1:pos:R:3 comment="PrY5, optimized geometry, DFT PBE" ef_ev_per_fu=0.14 dos_at_fermi_per_ev_atom=1.44 space_group=P4/mmm energy_ev_per_atom=-6.16 de_polymorph_mev_per_atom=1 pbc="T T T"
Pr 1.7984 1.7984 7.6291
Y 0.0000 0.0000 0.0000
Y 1.7984 1.7984 2.5123
Y 0.0000 0.0000 5.0332
Y 0.0000 0.0000 10.2249
Y 1.7984 1.7984 12.7458

(2)
12
Lattice="3.6363 0.0000 0.5735 1.4581 9.2297 2.5697 -0.0917 0.2094 12.3972" Properties=species:S:1:pos:R:3 comment="Pr7Y5, optimized geometry, DFT PBE" ef_ev_per_fu=0.07 dos_at_fermi_per_ev_atom=1.38 space_group=C2/m energy_ev_per_atom=-5.48 de_polymorph_mev_per_atom=0 pbc="T T T"
Pr 1.0906 6.4575 4.9001
Pr 1.6934 3.0608 1.0777
Pr 3.9121 2.9816 10.6403
Pr 1.3283 0.3125 3.3928
Pr 3.3093 6.3782 14.4627
Pr 3.6744 9.1266 12.1476
Pr 2.5014 4.7195 7.7702
Y 3.0255 3.3762 4.4470
Y 0.0000 0.0000 0.0000
Y 4.1949 7.8032 8.8474
Y 0.8079 1.6359 6.6930
Y 1.9773 6.0628 11.0934

(3)
4
Lattice="-1.4682 3.2779 -0.8047 -3.5075 -0.4576 4.5355 4.3550 2.8480 3.6552" Properties=species:S:1:pos:R:3 comment="PrY3, optimized geometry, DFT PBE" ef_ev_per_fu=0.06 dos_at_fermi_per_ev_atom=1.85 space_group=Pmm2 energy_ev_per_atom=-6.03 de_polymorph_mev_per_atom=5 pbc="T T T"
Y 1.4480 3.0660 1.4291
Y 1.1388 3.7819 4.9094
Y -0.2991 0.7225 3.4887
Pr 4.3494 2.8443 3.6505

(4)
7
Lattice="5.7000 0.0000 -1.8928 -0.8138 8.8875 -2.4507 -1.3435 -0.8507 5.4832" Properties=species:S:1:pos:R:3 comment="Pr4Y3, optimized geometry, DFT PBE" ef_ev_per_fu=0.69 dos_at_fermi_per_ev_atom=1.96 space_group=C2/m energy_ev_per_atom=-5.40 de_polymorph_mev_per_atom=0 pbc="T T T"
Pr 3.3822 0.8809 0.6562
Pr 0.0759 3.4972 0.2285
Pr 3.4669 4.5396 0.9111
Pr 0.1606 7.1559 0.4835
Y 0.0000 0.0000 0.0000
Y 1.0703 1.8263 3.2230
Y 2.4725 6.2105 -2.0833

(5)
2
Lattice="3.6889 0.0000 0.0000 -1.8444 3.1946 0.0000 0.0000 0.0000 5.8524" Properties=species:S:1:pos:R:3 comment="PrY, optimized geometry, DFT PBE" ef_ev_per_fu=0.06 dos_at_fermi_per_ev_atom=1.76 space_group=P-6m2 energy_ev_per_atom=-5.59 de_polymorph_mev_per_atom=14 pbc="T T T"
Y 0.0000 2.1298 2.9262
Pr 0.0000 0.0000 0.0000

(6)
9
Lattice="-3.3791 0.7586 -1.1693 -0.9653 -3.7005 -5.3246 -5.5007 -9.4967 4.0219" Properties=species:S:1:pos:R:3 comment="PrY6Zn2, optimized geometry, DFT PBE" ef_ev_per_fu=-1.28 dos_at_fermi_per_ev_atom=1.30 space_group=C2/m energy_ev_per_atom=-5.27 pbc="T T T"
Y -4.0313 -7.3844 1.1459
Y -5.8138 -5.0542 -3.6179
Y -6.3407 -9.9436 0.4461
Y -5.0511 -8.2514 -2.1830
Y -4.7940 -4.1872 -0.2890
Y -3.5044 -2.4950 -2.9181
Zn -7.4112 -10.3366 -2.4286
Zn -2.4339 -2.1020 -0.0434
Pr 0.0000 0.0000 0.0000